A relaxed La8Pm3Mg2 crystal. Source: the Alexandria database, functional PBE-GGA.

Geometry as POSCAR:
```
La8Pm3Mg2
1.0
6.622 0.000 0.000
-2.524 6.879 0.000
-1.130 -1.740 9.956
La Pm Mg
8 3 2
Direct
0.011 0.316 0.371 La
0.014 0.804 0.295 La
0.425 0.445 0.178 La
0.476 0.034 0.816 La
0.524 0.966 0.184 La
0.575 0.555 0.822 La
0.986 0.196 0.705 La
0.989 0.684 0.629 La
0.000 0.000 0.000 Pm
0.489 0.244 0.505 Pm
0.511 0.756 0.495 Pm
0.154 0.626 0.938 Mg
0.846 0.374 0.062 Mg
```

Magnetic moment, μB per formula unit: 0.000
Calculated formation energy, eV/f.u.: 0.76
Space group: P-1 (2)
Theoretical density, Mg/m³: 5.8
VASP energy, eV per atom: -4.32